1.
Compound: Tl2AsS4
Source: Alexandria
Functional: PBE-GGA
Structure: optimized geometry

Structure (POSCAR):
```
Tl2AsS4
1.0
-2.555 -2.665 1.028
2.411 -4.173 -4.826
8.106 -4.658 8.076
Tl As S
4 2 8
direct
0.500 0.914 0.831
0.500 0.086 0.169
0.500 0.414 0.669
0.500 0.586 0.331
0.000 0.000 0.500
0.000 0.500 0.000
0.000 0.622 0.800
0.000 0.378 0.200
0.000 0.122 0.700
0.000 0.878 0.300
0.500 0.756 0.544
0.500 0.244 0.456
0.500 0.744 0.044
0.500 0.256 0.956
```

=====

2.
Compound: Tl3AsS3
Source: Alexandria
Functional: PBE-GGA
Structure: optimized geometry

Calculated values
ΔE to the lowest computed polymorph   228 meV per atom

Structure (POSCAR):
```
Tl3AsS3
1.0
-5.132 3.614 1.336
-4.957 -4.895 -5.801
0.532 -2.464 8.708
Tl As S
6 2 6
direct
0.750 0.714 0.636
0.750 0.364 0.078
0.750 0.922 0.286
0.250 0.286 0.364
0.250 0.636 0.922
0.250 0.078 0.714
0.250 0.667 0.333
0.750 0.333 0.667
0.250 0.686 0.601
0.250 0.399 0.085
0.250 0.915 0.314
0.750 0.314 0.399
0.750 0.601 0.915
0.750 0.085 0.686
```

=====

3.
Compound: Tl5AsS4
Source: Alexandria
Functional: PBE-GGA
Structure: optimized geometry

Calculated values
ΔE to the lowest computed polymorph   0 meV per atom

Structure (POSCAR):
```
Tl5AsS4
1.0
3.970 0.000 0.000
0.000 8.271 -0.149
-1.985 -2.352 8.721
Tl As S
5 1 4
direct
0.181 0.314 0.362
0.159 0.802 0.317
0.841 0.198 0.683
0.500 0.500 0.000
0.819 0.686 0.638
0.500 0.000 0.000
0.650 0.044 0.300
0.015 0.219 0.029
0.350 0.956 0.700
0.985 0.781 0.971
```

=====

4.
Compound: TlAsS
Source: Alexandria
Functional: PBE-GGA
Structure: optimized geometry

Calculated values
ΔE to the lowest computed polymorph   0 meV per atom

Structure (POSCAR):
```
TlAsS
1.0
3.916 0.000 0.000
0.000 11.910 0.000
0.000 0.000 7.686
Tl As S
4 4 4
direct
0.750 0.129 0.536
0.250 0.371 0.036
0.250 0.871 0.464
0.750 0.629 0.964
0.750 0.052 0.075
0.250 0.448 0.575
0.250 0.948 0.925
0.750 0.552 0.425
0.750 0.707 0.592
0.250 0.793 0.092
0.250 0.293 0.408
0.750 0.207 0.908
```

=====

5.
Compound: Tm8Tl3As3S
Source: Alexandria
Functional: PBE-GGA
Structure: optimized geometry

Structure (POSCAR):
```
Tm8Tl3As3S
1.0
-0.657 -7.798 -0.471
7.076 3.304 0.799
-5.170 0.003 7.168
Tm Tl As S
8 3 3 1
direct
0.262 0.524 0.286
0.738 0.476 0.714
0.763 0.526 0.284
0.237 0.474 0.716
0.763 0.021 0.284
0.237 0.979 0.716
0.257 0.021 0.284
0.743 0.979 0.716
0.000 0.000 0.000
0.000 0.500 0.000
0.500 0.500 0.000
0.500 0.000 0.500
0.500 0.500 0.500
0.000 0.500 0.500
0.000 0.000 0.500
```

=====

6.
Compound: Tm6TlAs2S3
Source: Alexandria
Functional: PBE-GGA
Structure: optimized geometry

Structure (POSCAR):
```
Tm6TlAs2S3
1.0
3.957 0.000 0.000
0.000 8.109 0.315
-1.979 -2.314 8.444
Tm Tl As S
6 1 2 3
direct
0.328 0.913 0.657
0.668 0.582 0.337
0.672 0.087 0.343
0.999 0.269 0.998
0.001 0.731 0.002
0.332 0.418 0.663
0.500 0.000 0.000
0.833 0.666 0.667
0.167 0.334 0.333
0.500 0.500 0.000
0.831 0.169 0.662
0.169 0.831 0.338
```

=====

Number 1: formation energy without anion corrections -0.7 kJ per mole of atoms, DOS at the Fermi energy 0.201 states/eV/atom. Number 2: formation energy without anion corrections -9.0 kJ per mole of atoms, DOS at the Fermi energy 0.600 states/eV/atom. Number 3: formation energy without anion corrections -24.4 kJ per mole of atoms, DOS at the Fermi energy 0.007 states/eV/atom. Number 4: formation energy without anion corrections -20.9 kJ per mole of atoms, DOS at the Fermi energy 0.005 states/eV/atom. Number 5: formation energy without anion corrections -85.2 kJ per mole of atoms, DOS at the Fermi energy 0.588 states/eV/atom. Number 6: formation energy without anion corrections -142.3 kJ per mole of atoms, DOS at the Fermi energy 0.344 states/eV/atom.